## Ta2Cl8O (PBE)

Data for a geometry-optimized Ta2Cl8O structure.

a b c (Å): 9.309 11.050 8.234
angles (deg): 90.00 105.01 90.00
Space group C2/m (No. 12)
One atom of each set of equivalent atoms:
Ta1 0.131 0.000 0.224
Cl1 0.031 0.183 0.268
Cl2 0.166 0.500 0.881
Cl3 0.225 0.500 0.497
O1 0.000 0.000 0.000

Summary:
VASP energy: -5.475 eV per atom
Magnetization: 0.00 μB/f.u.
Density: 2.69 Mg/m³